No. 1
A plane-wave DFT calculation with GGA-PBE was carried out for a geometry-optimized In5Re structure.

CIF file:
```
data_In5Re
_chemical_formula_sum 'In5 Re1'
_space_group_name_H-M_alt 'P -6 2 m'
_space_group_IT_number 189
_space_group_name_Hall 'P -6 -2'
_cell_length_a 5.3712
_cell_length_b 5.3712
_cell_length_c 5.2121
_cell_angle_alpha 90.00
_cell_angle_beta 90.00
_cell_angle_gamma 120.00
loop_
_atom_site_label
_atom_site_type_symbol
_atom_site_fract_x
_atom_site_fract_y
_atom_site_fract_z
In1 In 0.0000 0.6886 0.0000
In2 In 0.3333 0.6667 0.5000
Re1 Re 0.0000 0.0000 0.5000
```

Values from the calculation:
N(E_F) = 3.1 states/eV/cell
mass density = 9.69 Mg/m³
energy of formation = 0.415 eV/atom
energy above the lowest structure with this stoichiometry = 83.2 meV/atom
total moment = 0.00 μB per formula unit

***

No. 2
A plane-wave DFT calculation with GGA-PBE was carried out for a geometry-optimized InRe2 structure.

CIF file:
```
data_InRe2
_chemical_formula_sum 'In1 Re2'
_space_group_name_H-M_alt 'P 6/m m m'
_space_group_IT_number 191
_space_group_name_Hall '-P 6 2'
_cell_length_a 4.4638
_cell_length_b 4.4638
_cell_length_c 3.0076
_cell_angle_alpha 90.00
_cell_angle_beta 90.00
_cell_angle_gamma 120.00
loop_
_atom_site_label
_atom_site_type_symbol
_atom_site_fract_x
_atom_site_fract_y
_atom_site_fract_z
In1 In 0.0000 0.0000 0.0000
Re1 Re 0.3333 0.6667 0.5000
```

Values from the calculation:
N(E_F) = 2.5 states/eV/cell
mass density = 15.59 Mg/m³
energy of formation = 0.648 eV/atom
total moment = 0.00 μB per formula unit

***

No. 3
A plane-wave DFT calculation with GGA-PBE was carried out for a geometry-optimized InRe structure.

CIF file:
```
data_InRe
_chemical_formula_sum 'In2 Re2'
_space_group_name_H-M_alt 'P 4/n m m'
_space_group_IT_number 129
_cell_length_a 3.569
_cell_length_b 3.569
_cell_length_c 6.902
_cell_angle_alpha 90.00
_cell_angle_beta 90.00
_cell_angle_gamma 90.00
loop_
_space_group_symop_operation_xyz
'x,y,z'
'-x,-y,-z'
'-y+1/2,x,z'
'y+1/2,-x,-z'
'-x+1/2,-y+1/2,z'
'x+1/2,y+1/2,-z'
'y,-x+1/2,z'
'-y,x+1/2,-z'
'x+1/2,-y,-z'
'-x+1/2,y,z'
'-y,-x,-z'
'y,x,z'
'-x,y+1/2,-z'
'x,-y+1/2,z'
'y+1/2,x+1/2,-z'
'-y+1/2,-x+1/2,z'
loop_
_atom_site_label
_atom_site_type_symbol
_atom_site_fract_x
_atom_site_fract_y
_atom_site_fract_z
In1 In 0.250 0.250 0.155
Re1 Re 0.250 0.750 0.500
```

Values from the calculation:
N(E_F) = 2.9 states/eV/cell
mass density = 11.37 Mg/m³
energy of formation = 0.704 eV/atom
energy above the lowest structure with this stoichiometry = 507.6 meV/atom
total moment = 0.00 μB per formula unit

***

No. 4
A plane-wave DFT calculation with GGA-PBE was carried out for a geometry-optimized InRe5 structure.

CIF file:
```
data_InRe5
_chemical_formula_sum 'In4 Re20'
_space_group_name_H-M_alt 'F -4 3 m'
_space_group_IT_number 216
_space_group_name_Hall 'F -4 2 3'
_cell_length_a 7.350
_cell_length_b 7.350
_cell_length_c 7.350
_cell_angle_alpha 90.00
_cell_angle_beta 90.00
_cell_angle_gamma 90.00
loop_
_atom_site_label
_atom_site_type_symbol
_atom_site_fract_x
_atom_site_fract_y
_atom_site_fract_z
In1 In 0.000 0.000 0.000
Re1 Re 0.126 0.126 0.374
Re2 Re 0.250 0.250 0.750
```

Values from the calculation:
N(E_F) = 13.3 states/eV/cell
mass density = 17.50 Mg/m³
energy of formation = 0.559 eV/atom
energy above the lowest structure with this stoichiometry = 297.5 meV/atom
total moment = 0.00 μB per formula unit

***

No. 5
A plane-wave DFT calculation with GGA-PBE was carried out for a geometry-optimized In5Re3 structure.

CIF file:
```
data_In5Re3
_chemical_formula_sum 'In20 Re12'
_space_group_name_H-M_alt 'C 1 2/m 1'
_space_group_IT_number 12
_space_group_name_Hall '-C 2y'
_cell_length_a 5.251
_cell_length_b 15.365
_cell_length_c 8.113
_cell_angle_alpha 90.00
_cell_angle_beta 108.74
_cell_angle_gamma 90.00
loop_
_atom_site_label
_atom_site_type_symbol
_atom_site_fract_x
_atom_site_fract_y
_atom_site_fract_z
In1 In 0.101 0.174 0.201
In2 In 0.174 0.399 0.348
In3 In 0.250 0.000 0.000
Re1 Re 0.000 0.250 0.500
Re2 Re 0.000 0.326 0.000
Re3 Re 0.173 0.000 0.347
```

Values from the calculation:
N(E_F) = 33.3 states/eV/cell
mass density = 12.14 Mg/m³
energy of formation = 0.759 eV/atom
energy above the lowest structure with this stoichiometry = 75.4 meV/atom
total moment = 1.69 μB per formula unit

***

No. 6
A plane-wave DFT calculation with GGA-PBE was carried out for a geometry-optimized InRe structure.

CIF file:
```
data_InRe
_chemical_formula_sum 'In8 Re8'
_space_group_name_H-M_alt 'I 4/m m m'
_space_group_IT_number 139
_space_group_name_Hall '-I 4 2'
_cell_length_a 8.119
_cell_length_b 8.119
_cell_length_c 4.723
_cell_angle_alpha 90.00
_cell_angle_beta 90.00
_cell_angle_gamma 90.00
loop_
_atom_site_label
_atom_site_type_symbol
_atom_site_fract_x
_atom_site_fract_y
_atom_site_fract_z
In1 In 0.000 0.283 0.000
Re1 Re 0.154 0.154 0.500
```

Values from the calculation:
N(E_F) = 8.8 states/eV/cell
mass density = 12.84 Mg/m³
energy of formation = 0.455 eV/atom
energy above the lowest structure with this stoichiometry = 258.8 meV/atom
total moment = 0.00 μB per formula unit

***

No. 7
A plane-wave DFT calculation with GGA-PBE was carried out for a geometry-optimized InRe structure.

CIF file:
```
data_InRe
_chemical_formula_sum 'In4 Re4'
_space_group_name_H-M_alt 'P 63/m m c'
_space_group_IT_number 194
_space_group_name_Hall '-P 6c 2c'
_cell_length_a 4.1972
_cell_length_b 4.1972
_cell_length_c 12.4471
_cell_angle_alpha 90.00
_cell_angle_beta 90.00
_cell_angle_gamma 120.00
loop_
_atom_site_label
_atom_site_type_symbol
_atom_site_fract_x
_atom_site_fract_y
_atom_site_fract_z
In1 In 0.3333 0.6667 0.0945
Re1 Re 0.0000 0.0000 0.2500
Re2 Re 0.3333 0.6667 0.7500
```

Values from the calculation:
N(E_F) = 6.4 states/eV/cell
mass density = 10.53 Mg/m³
energy of formation = 0.719 eV/atom
energy above the lowest structure with this stoichiometry = 522.1 meV/atom
total moment = 0.00 μB per formula unit

***

No. 8
A plane-wave DFT calculation with GGA-PBE was carried out for a geometry-optimized InRe structure.

CIF file:
```
data_InRe
_chemical_formula_sum 'In4 Re4'
_space_group_name_H-M_alt 'P 42/m n m'
_space_group_IT_number 136
_space_group_name_Hall '-P 4n 2n'
_cell_length_a 5.651
_cell_length_b 5.651
_cell_length_c 5.453
_cell_angle_alpha 90.00
_cell_angle_beta 90.00
_cell_angle_gamma 90.00
loop_
_atom_site_label
_atom_site_type_symbol
_atom_site_fract_x
_atom_site_fract_y
_atom_site_fract_z
In1 In 0.184 0.184 0.000
Re1 Re 0.145 0.145 0.500
```

Values from the calculation:
N(E_F) = 9.0 states/eV/cell
mass density = 11.48 Mg/m³
energy of formation = 1.267 eV/atom
energy above the lowest structure with this stoichiometry = 1070.6 meV/atom
total moment = 0.40 μB per formula unit

***

No. 9
A plane-wave DFT calculation with GGA-PBE was carried out for a geometry-optimized InRe structure.

CIF file:
```
data_InRe
_chemical_formula_sum 'In6 Re6'
_space_group_name_H-M_alt 'R -3 m'
_space_group_IT_number 166
_space_group_name_Hall '-R 3 2"'
_cell_length_a 4.3975
_cell_length_b 4.3975
_cell_length_c 14.1320
_cell_angle_alpha 90.00
_cell_angle_beta 90.00
_cell_angle_gamma 120.00
loop_
_atom_site_label
_atom_site_type_symbol
_atom_site_fract_x
_atom_site_fract_y
_atom_site_fract_z
In1 In 0.0000 0.0000 0.1121
Re1 Re 0.0000 0.0000 0.3203
```

Values from the calculation:
N(E_F) = 5.0 states/eV/cell
mass density = 12.67 Mg/m³
energy of formation = 0.374 eV/atom
energy above the lowest structure with this stoichiometry = 177.6 meV/atom
total moment = 0.00 μB per formula unit

***

No. 10
A plane-wave DFT calculation with GGA-PBE was carried out for a geometry-optimized InRe structure.

CIF file:
```
data_InRe
_chemical_formula_sum 'In2 Re2'
_space_group_name_H-M_alt 'C m m m'
_space_group_IT_number 65
_space_group_name_Hall '-C 2 2'
_cell_length_a 3.089
_cell_length_b 4.899
_cell_length_c 4.705
_cell_angle_alpha 90.00
_cell_angle_beta 90.00
_cell_angle_gamma 90.00
loop_
_atom_site_label
_atom_site_type_symbol
_atom_site_fract_x
_atom_site_fract_y
_atom_site_fract_z
In1 In 0.000 0.000 0.000
Re1 Re 0.000 0.500 0.500
```

Values from the calculation:
N(E_F) = 3.0 states/eV/cell
mass density = 14.04 Mg/m³
energy of formation = 0.776 eV/atom
energy above the lowest structure with this stoichiometry = 579.7 meV/atom
total moment = 0.00 μB per formula unit

***

No. 11
A plane-wave DFT calculation with GGA-PBE was carried out for a geometry-optimized In5Re structure.

CIF file:
```
data_In5Re
_chemical_formula_sum 'In5 Re1'
_space_group_name_H-M_alt 'P 4/m m m'
_space_group_IT_number 123
_space_group_name_Hall '-P 4 2'
_cell_length_a 3.206
_cell_length_b 3.206
_cell_length_c 13.856
_cell_angle_alpha 90.00
_cell_angle_beta 90.00
_cell_angle_gamma 90.00
loop_
_atom_site_label
_atom_site_type_symbol
_atom_site_fract_x
_atom_site_fract_y
_atom_site_fract_z
In1 In 0.000 0.000 0.000
In2 In 0.000 0.000 0.377
In3 In 0.500 0.500 0.190
Re1 Re 0.500 0.500 0.500
```

Values from the calculation:
N(E_F) = 3.9 states/eV/cell
mass density = 8.86 Mg/m³
energy of formation = 0.344 eV/atom
energy above the lowest structure with this stoichiometry = 12.5 meV/atom
total moment = 0.00 μB per formula unit

***

No. 12
A plane-wave DFT calculation with GGA-PBE was carried out for a geometry-optimized In4Re5 structure.

CIF file:
```
data_In4Re5
_chemical_formula_sum 'In8 Re10'
_space_group_name_H-M_alt 'P 63/m c m'
_space_group_IT_number 193
_space_group_name_Hall '-P 6c 2'
_cell_length_a 8.1706
_cell_length_b 8.1706
_cell_length_c 5.4205
_cell_angle_alpha 90.00
_cell_angle_beta 90.00
_cell_angle_gamma 120.00
loop_
_atom_site_label
_atom_site_type_symbol
_atom_site_fract_x
_atom_site_fract_y
_atom_site_fract_z
In1 In 0.0000 0.0000 0.0000
In2 In 0.0000 0.3623 0.2500
Re1 Re 0.0000 0.3108 0.7500
Re2 Re 0.3333 0.6667 0.0000
```

Values from the calculation:
N(E_F) = 19.3 states/eV/cell
mass density = 14.73 Mg/m³
energy of formation = 0.923 eV/atom
energy above the lowest structure with this stoichiometry = 359.3 meV/atom
total moment = 0.00 μB per formula unit